Ac2CrH2O6: relaxed, PBE+U.

Summary:
calculated total energy	-6.771	eV/atom
total moment	5.968	μB/cell

abc: 5.2815 5.2815 14.8832
angles: 90.00 90.00 120.00
Space group R-3m (No. 166, hexagonal axes)
Symmetry-distinct sites (fractional):
Ac 0.0000 0.0000 0.2382 [6 per cell]
Cr 0.0000 0.0000 0.0000 [3 per cell]
H 0.0000 0.0000 0.4163 [6 per cell]
O 0.0083 0.5042 0.2550 [18 per cell]



AcCr2HO8: relaxed, PBE+U.

Summary:
calculated total energy	-6.506	eV/atom
total moment	0.000	μB/cell

abc: 4.8622 4.8622 20.9112
angles: 90.00 90.00 120.00
Space group R-3 (No. 148, hexagonal axes)
Symmetry-distinct sites (fractional):
Ac 0.0000 0.0000 0.0000 [3 per cell]
Cr 0.0000 0.0000 0.2411 [6 per cell]
H 0.0000 0.0000 0.5000 [3 per cell]
O 0.0000 0.0000 0.3228 [6 per cell]
O 0.0006 0.3404 0.1111 [18 per cell]



AcCrH3O6: relaxed, PBE+U.

Summary:
calculated total energy	-6.248	eV/atom
total moment	0.000	μB/cell

abc: 5.9714 5.9714 12.9097
angles: 90.00 90.00 120.00
Space group R3 (No. 146, hexagonal axes)
Symmetry-distinct sites (fractional):
Ac 0.0000 0.0000 0.0000 [3 per cell]
Cr 0.0000 0.0000 0.7424 [3 per cell]
H 0.1890 0.8007 0.2411 [9 per cell]
O 0.0497 0.4627 0.4691 [9 per cell]
O 0.1007 0.7083 0.3042 [9 per cell]



| no. | volume (A^3/atom) |
| --- | --- |
| 1 | 10.9 |
| 2 | 11.9 |
| 3 | 12.1 |